Crystalline HoScH2 at its relaxed geometry, computed with GGA-PBE.

Geometry as POSCAR:
```
HoScH2
1.0
3.550 0.000 0.000
1.775 3.074 0.000
1.775 1.025 5.515
Sc H Ho
1 2 1
direct
0.000 0.000 0.000 Sc
0.122 0.122 0.633 H
0.878 0.878 0.367 H
0.500 0.500 0.500 Ho
```

Summary:
Crystal system: trigonal
Energy relative to the lowest polymorph listed for this composition (eV per atom): 0.000
Calculated volume (Å³/f.u.): 60
Total magnetic moment (μB per formula unit): 0.00

Crystalline YRhPb2 at its relaxed geometry, computed with GGA-PBE.

Geometry as POSCAR:
```
YRhPb2
1.0
5.688 -0.009 0.000
2.185 5.252 0.000
-3.937 -2.621 3.160
Pb Rh Y
2 1 1
direct
0.000 0.000 0.000 Pb
0.250 0.750 0.500 Pb
0.500 0.500 0.000 Rh
0.750 0.250 0.500 Y
```

Summary:
Crystal system: tetragonal
Calculated volume (Å³/f.u.): 94
Formation enthalpy at 0 K (eV/atom): -0.22
Total magnetic moment (μB per formula unit): 0.00

Crystalline Tb3PmN4 at its relaxed geometry, computed with GGA-PBE.

Geometry as POSCAR:
```
Tb3PmN4
1.0
6.108 0.056 0.000
-2.088 5.742 0.000
0.000 0.000 7.060
N Tb Pm
8 6 2
direct
0.003 0.251 0.620 N
0.499 0.256 0.873 N
0.503 0.251 0.380 N
0.999 0.256 0.127 N
0.001 0.744 0.873 N
0.497 0.749 0.620 N
0.501 0.744 0.127 N
0.997 0.749 0.380 N
0.750 0.000 0.377 Tb
0.250 0.000 0.623 Tb
0.750 0.500 0.623 Tb
0.750 0.500 0.126 Tb
0.250 0.500 0.377 Tb
0.250 0.500 0.874 Tb
0.750 0.000 0.874 Pm
0.250 0.000 0.126 Pm
```

Summary:
Crystal system: monoclinic
Energy relative to the lowest polymorph listed for this composition (eV per atom): 0.000
Calculated volume (Å³/f.u.): 124
Formation energy without anion corrections (kcal/mol of atoms): -36.84
Total magnetic moment (μB per formula unit): 0.00

Crystalline Ac2Sb4IrPt3 at its relaxed geometry, computed with GGA-PBE.

Geometry as POSCAR:
```
Ac2Sb4IrPt3
1.0
-3.628 3.086 -0.009
-0.104 -0.136 -4.760
-6.827 -8.026 0.379
Ac Sb Ir Pt
2 4 1 3
direct
0.500 0.000 0.262 Ac
0.000 0.500 0.738 Ac
0.500 0.500 0.000 Sb
0.000 0.000 0.000 Sb
0.500 0.000 0.624 Sb
0.000 0.500 0.376 Sb
0.500 0.500 0.500 Ir
0.000 0.000 0.500 Pt
0.500 0.000 0.876 Pt
0.000 0.500 0.124 Pt
```

Summary:
Crystal system: tetragonal
Calculated volume (Å³/f.u.): 239
Formation energy without anion corrections (kcal/mol of atoms): -18.87
Total magnetic moment (μB per formula unit): 0.00

Crystalline KReTcNi2 at its relaxed geometry, computed with GGA-PBE.

Geometry as POSCAR:
```
KReTcNi2
1.0
4.111 0.000 0.000
0.000 4.957 0.000
0.000 0.000 4.111
Re K Tc Ni
1 1 1 2
direct
0.000 0.500 0.000 Re
0.000 0.000 0.000 K
0.500 0.500 0.500 Tc
0.000 0.000 0.500 Ni
0.500 0.000 0.000 Ni
```

Summary:
Crystal system: tetragonal
Calculated volume (Å³/f.u.): 84
Formation enthalpy at 0 K (eV/atom): 2.89
Total magnetic moment (μB per formula unit): 0.02

Crystalline PmBRh2 at its relaxed geometry, computed with GGA-PBE.

Geometry as POSCAR:
```
PmBRh2
1.0
3.770 0.000 0.000
1.885 3.265 0.000
1.885 1.088 5.398
B Rh Pm
1 2 1
direct
0.500 0.500 0.500 B
0.789 0.789 0.634 Rh
0.211 0.211 0.366 Rh
0.000 0.000 0.000 Pm
```

Summary:
Crystal system: trigonal
Energy relative to the lowest polymorph listed for this composition (eV per atom): 0.220
Calculated volume (Å³/f.u.): 66
Formation enthalpy at 0 K (eV/atom): -0.36
Total magnetic moment (μB per formula unit): 0.00

Crystalline Cs3KBr4 at its relaxed geometry, computed with GGA-PBE.

Geometry as POSCAR:
```
Cs3KBr4
1.0
5.099 0.000 0.000
0.000 8.368 -2.848
0.000 -0.065 8.839
Cs K Br
3 1 4
direct
0.000 0.000 0.500 Cs
0.500 0.500 0.500 Cs
0.000 0.500 0.000 Cs
0.500 0.000 0.000 K
0.000 0.235 0.235 Br
0.500 0.759 0.241 Br
0.000 0.765 0.765 Br
0.500 0.241 0.759 Br
```

Summary:
Crystal system: orthorhombic
Calculated volume (Å³/f.u.): 376
Formation energy without anion corrections (kcal/mol of atoms): -40.69
Total magnetic moment (μB per formula unit): 0.00

Crystalline TaBiS2Cl at its relaxed geometry, computed with GGA-PBE.

Geometry as POSCAR:
```
TaBiS2Cl
1.0
4.858 0.000 0.000
0.000 4.858 0.000
0.000 0.000 4.793
S Cl Bi Ta
2 1 1 1
direct
0.000 0.500 0.000 S
0.500 0.000 0.000 S
0.000 0.000 0.500 Cl
0.500 0.500 0.500 Bi
0.000 0.000 0.000 Ta
```

Summary:
Crystal system: tetragonal
Energy relative to the lowest polymorph listed for this composition (eV per atom): 0.000
Calculated volume (Å³/f.u.): 113
Formation energy without anion corrections (kcal/mol of atoms): -5.60
Total magnetic moment (μB per formula unit): 0.00

Crystalline TeAuI3 at its relaxed geometry, computed with GGA-PBE.

Geometry as POSCAR:
```
TeAuI3
1.0
4.492 1.489 -0.118
4.328 11.609 -1.151
0.799 3.181 10.104
Te Au I
2 2 6
direct
0.951 0.003 0.044 Te
0.847 0.866 0.885 Te
0.219 0.382 0.705 Au
0.484 0.264 0.381 Au
0.096 0.087 0.276 I
0.176 0.730 0.177 I
0.622 0.301 0.902 I
0.594 0.049 0.650 I
0.552 0.657 0.792 I
0.898 0.465 0.483 I
```

Summary:
Crystal system: triclinic
Energy relative to the lowest polymorph listed for this composition (eV per atom): 0.000
Calculated volume (Å³/f.u.): 238
Formation energy without anion corrections (kcal/mol of atoms): -1.13
Total magnetic moment (μB per formula unit): 0.00

Crystalline TcPCl2F at its relaxed geometry, computed with GGA-PBE.

Geometry as POSCAR:
```
TcPCl2F
1.0
5.313 0.000 0.000
0.000 5.313 0.000
0.000 0.000 3.628
P F Tc Cl
1 1 1 2
direct
0.000 0.000 0.500 P
0.000 0.000 0.000 F
0.500 0.500 0.500 Tc
0.000 0.500 0.000 Cl
0.500 0.000 0.000 Cl
```

Summary:
Crystal system: tetragonal
Energy relative to the lowest polymorph listed for this composition (eV per atom): 0.563
Calculated volume (Å³/f.u.): 102
Formation energy without anion corrections (kcal/mol of atoms): 12.42
Total magnetic moment (μB per formula unit): 3.24

Crystalline ScCdSn at its relaxed geometry, computed with GGA-PBE.

Geometry as POSCAR:
```
ScCdSn
1.0
8.337 1.892 0.000
0.876 8.504 0.000
-4.607 -5.198 5.047
Sn Cd Sc
4 4 4
direct
0.200 0.200 0.401 Sn
0.800 0.800 0.599 Sn
0.050 0.550 0.099 Sn
0.450 0.950 0.901 Sn
0.625 0.875 0.250 Cd
0.625 0.375 0.750 Cd
0.625 0.375 0.250 Cd
0.125 0.375 0.750 Cd
0.399 0.899 0.500 Sc
0.149 0.149 0.000 Sc
0.101 0.601 0.500 Sc
0.851 0.851 0.000 Sc
```

Summary:
Crystal system: orthorhombic
Calculated volume (Å³/f.u.): 87
Formation enthalpy at 0 K (eV/atom): -0.05
Total magnetic moment (μB per formula unit): 0.00

Crystalline HoTm4Sc at its relaxed geometry, computed with GGA-PBE.

Geometry as POSCAR:
```
HoTm4Sc
1.0
6.169 -0.611 0.000
-2.402 8.410 0.000
-1.884 -3.900 7.141
Ho Tm Sc
2 8 2
direct
0.338 0.588 0.175 Ho
0.662 0.412 0.825 Ho
0.043 0.167 0.751 Tm
0.749 0.711 0.614 Tm
0.207 0.583 0.751 Tm
0.365 0.903 0.614 Tm
0.635 0.097 0.386 Tm
0.793 0.417 0.249 Tm
0.251 0.289 0.386 Tm
0.957 0.833 0.249 Tm
0.250 0.000 0.000 Sc
0.750 0.000 0.000 Sc
```

Summary:
Crystal system: monoclinic
Energy relative to the lowest polymorph listed for this composition (eV per atom): 0.140
Calculated volume (Å³/f.u.): 180
Formation enthalpy at 0 K (eV/atom): 0.14
Total magnetic moment (μB per formula unit): 0.00